No. 1
# SrLaMg2 (GGA-PBE, optimized geometry)
data_SrLaMg2
_space_group_name_H-M_alt 'P 4 m m'
_space_group_IT_number 99
_cell_length_a 3.718
_cell_length_b 3.718
_cell_length_c 9.783
_cell_angle_alpha 90.00
_cell_angle_beta 90.00
_cell_angle_gamma 90.00
loop_
_space_group_symop_operation_xyz
'x,y,z'
'-y,x,z'
'-x,-y,z'
'y,-x,z'
'-x,y,z'
'y,x,z'
'x,-y,z'
'-y,-x,z'
loop_
_atom_site_label
_atom_site_type_symbol
_atom_site_fract_x
_atom_site_fract_y
_atom_site_fract_z
_atom_site_occupancy
Sr1 Sr 0.000 0.000 0.000 1
La1 La 0.500 0.500 0.332 1
Mg1 Mg 0.000 0.000 0.564 1
Mg2 Mg 0.500 0.500 0.737 1
# - formation enthalpy at 0 K (meV/atom) = 35
# - DFT total energy (eV/atom) = -2.41

No. 2
# HfTl2SbO6 (GGA-PBE, optimized geometry)
data_HfTl2SbO6
_space_group_name_H-M_alt 'F m -3 m'
_space_group_IT_number 225
_space_group_name_Hall '-F 4 2 3'
_cell_length_a 8.208
_cell_length_b 8.208
_cell_length_c 8.208
_cell_angle_alpha 90.00
_cell_angle_beta 90.00
_cell_angle_gamma 90.00
loop_
_atom_site_label
_atom_site_type_symbol
_atom_site_fract_x
_atom_site_fract_y
_atom_site_fract_z
_atom_site_occupancy
Hf1 Hf 0.000 0.000 0.000 1
Tl1 Tl 0.250 0.250 0.250 1
Sb1 Sb 0.000 0.000 0.500 1
O1 O 0.000 0.000 0.255 1
# - DFT total energy (eV/atom) = -6.56
# - formation energy without anion corrections (eV per atom) = -1.701

No. 3
# Sn3GeBr (GGA-PBE, optimized geometry)
data_Sn3GeBr
_space_group_name_H-M_alt 'P m -3 m'
_space_group_IT_number 221
_space_group_name_Hall '-P 4 2 3'
_cell_length_a 5.514
_cell_length_b 5.514
_cell_length_c 5.514
_cell_angle_alpha 90.00
_cell_angle_beta 90.00
_cell_angle_gamma 90.00
loop_
_atom_site_label
_atom_site_type_symbol
_atom_site_fract_x
_atom_site_fract_y
_atom_site_fract_z
_atom_site_occupancy
Sn1 Sn 0.000 0.000 0.500 1
Ge1 Ge 0.000 0.000 0.000 1
Br1 Br 0.500 0.500 0.500 1
# - DFT total energy (eV/atom) = -3.29
# - formation energy without anion corrections (eV per atom) = 0.373

No. 4
# K2CoSb (GGA-PBE, optimized geometry)
data_K2CoSb
_space_group_name_H-M_alt 'P 4/m m m'
_space_group_IT_number 123
_space_group_name_Hall '-P 4 2'
_cell_length_a 3.288
_cell_length_b 3.288
_cell_length_c 10.631
_cell_angle_alpha 90.00
_cell_angle_beta 90.00
_cell_angle_gamma 90.00
loop_
_atom_site_label
_atom_site_type_symbol
_atom_site_fract_x
_atom_site_fract_y
_atom_site_fract_z
_atom_site_occupancy
K1 K 0.000 0.000 0.242 1
Co1 Co 0.500 0.500 0.000 1
Sb1 Sb 0.500 0.500 0.500 1
# - DFT total energy (eV/atom) = -2.80
# - formation energy without anion corrections (eV per atom) = 0.555

No. 5
# ReRh2Se (GGA-PBE, optimized geometry)
data_ReRh2Se
_space_group_name_H-M_alt 'P 4/m m m'
_space_group_IT_number 123
_space_group_name_Hall '-P 4 2'
_cell_length_a 2.818
_cell_length_b 2.818
_cell_length_c 7.708
_cell_angle_alpha 90.00
_cell_angle_beta 90.00
_cell_angle_gamma 90.00
loop_
_atom_site_label
_atom_site_type_symbol
_atom_site_fract_x
_atom_site_fract_y
_atom_site_fract_z
_atom_site_occupancy
Re1 Re 0.000 0.000 0.000 1
Rh1 Rh 0.500 0.500 0.235 1
Se1 Se 0.000 0.000 0.500 1
# - DFT total energy (eV/atom) = -7.61
# - formation energy without anion corrections (eV per atom) = 0.054

No. 6
# La2TlSb4 (GGA-PBE, optimized geometry)
data_La2TlSb4
_space_group_name_H-M_alt 'P -4 m 2'
_space_group_IT_number 115
_cell_length_a 4.457
_cell_length_b 4.457
_cell_length_c 11.262
_cell_angle_alpha 90.00
_cell_angle_beta 90.00
_cell_angle_gamma 90.00
loop_
_space_group_symop_operation_xyz
'x,y,z'
'y,-x,-z'
'-x,-y,z'
'-y,x,-z'
'-x,y,z'
'-y,-x,-z'
'x,-y,z'
'y,x,-z'
loop_
_atom_site_label
_atom_site_type_symbol
_atom_site_fract_x
_atom_site_fract_y
_atom_site_fract_z
_atom_site_occupancy
La1 La 0.000 0.500 0.226 1
Tl1 Tl 0.000 0.000 0.500 1
Sb1 Sb 0.000 0.000 0.000 1
Sb2 Sb 0.000 0.500 0.687 1
Sb3 Sb 0.500 0.500 0.000 1
# - DFT total energy (eV/atom) = -4.81
# - formation energy without anion corrections (eV per atom) = -0.708

No. 7
# IrCl (GGA-PBE, optimized geometry)
data_IrCl
_space_group_name_H-M_alt 'C 1 2/m 1'
_space_group_IT_number 12
_cell_length_a 6.301
_cell_length_b 3.637
_cell_length_c 8.332
_cell_angle_alpha 90.00
_cell_angle_beta 104.34
_cell_angle_gamma 90.00
loop_
_space_group_symop_operation_xyz
'x,y,z'
'-x,-y,-z'
'-x,y,-z'
'x,-y,z'
'x+1/2,y+1/2,z'
'-x+1/2,-y+1/2,-z'
'-x+1/2,y+1/2,-z'
'x+1/2,-y+1/2,z'
loop_
_atom_site_label
_atom_site_type_symbol
_atom_site_fract_x
_atom_site_fract_y
_atom_site_fract_z
_atom_site_occupancy
Ir1 Ir 0.193 0.000 0.080 1
Cl1 Cl 0.088 0.500 0.269 1
# - distance to the lowest polymorph of the same formula (meV per atom) = 0
# - DFT total energy (eV/atom) = -5.22
# - formation energy without anion corrections (eV per atom) = 0.135

No. 8
# Cs2Rb3H4 (GGA-PBE, optimized geometry)
data_Cs2Rb3H4
_space_group_name_H-M_alt 'C 1 2/m 1'
_space_group_IT_number 12
_cell_length_a 14.733
_cell_length_b 4.398
_cell_length_c 11.014
_cell_angle_alpha 90.00
_cell_angle_beta 119.53
_cell_angle_gamma 90.00
loop_
_space_group_symop_operation_xyz
'x,y,z'
'-x,-y,-z'
'-x,y,-z'
'x,-y,z'
'x+1/2,y+1/2,z'
'-x+1/2,-y+1/2,-z'
'-x+1/2,y+1/2,-z'
'x+1/2,-y+1/2,z'
loop_
_atom_site_label
_atom_site_type_symbol
_atom_site_fract_x
_atom_site_fract_y
_atom_site_fract_z
_atom_site_occupancy
Cs1 Cs 0.108 0.000 0.386 1
Rb1 Rb 0.000 0.500 0.000 1
Rb2 Rb 0.206 0.500 0.817 1
H1 H 0.101 0.000 0.911 1
H2 H 0.201 0.500 0.281 1
# - DFT total energy (eV/atom) = -2.10

No. 9
# Ta2AgMo (GGA-PBE, optimized geometry)
data_Ta2AgMo
_space_group_name_H-M_alt 'P 4/m m m'
_space_group_IT_number 123
_space_group_name_Hall '-P 4 2'
_cell_length_a 2.758
_cell_length_b 2.758
_cell_length_c 9.186
_cell_angle_alpha 90.00
_cell_angle_beta 90.00
_cell_angle_gamma 90.00
loop_
_atom_site_label
_atom_site_type_symbol
_atom_site_fract_x
_atom_site_fract_y
_atom_site_fract_z
_atom_site_occupancy
Ta1 Ta 0.000 0.000 0.249 1
Ag1 Ag 0.500 0.500 0.500 1
Mo1 Mo 0.500 0.500 0.000 1
# - formation enthalpy at 0 K (meV/atom) = 248
# - distance to the lowest polymorph of the same formula (meV per atom) = 155
# - DFT total energy (eV/atom) = -9.10

Among the records above, which one has the highest DFT total energy?
Cs2Rb3H4

Among the records above, which one has the lowest DFT total energy?
Ta2AgMo

Please write out number 7 again, unchanged.
# IrCl (GGA-PBE, optimized geometry)
data_IrCl
_space_group_name_H-M_alt 'C 1 2/m 1'
_space_group_IT_number 12
_cell_length_a 6.301
_cell_length_b 3.637
_cell_length_c 8.332
_cell_angle_alpha 90.00
_cell_angle_beta 104.34
_cell_angle_gamma 90.00
loop_
_space_group_symop_operation_xyz
'x,y,z'
'-x,-y,-z'
'-x,y,-z'
'x,-y,z'
'x+1/2,y+1/2,z'
'-x+1/2,-y+1/2,-z'
'-x+1/2,y+1/2,-z'
'x+1/2,-y+1/2,z'
loop_
_atom_site_label
_atom_site_type_symbol
_atom_site_fract_x
_atom_site_fract_y
_atom_site_fract_z
_atom_site_occupancy
Ir1 Ir 0.193 0.000 0.080 1
Cl1 Cl 0.088 0.500 0.269 1
# - distance to the lowest polymorph of the same formula (meV per atom) = 0
# - DFT total energy (eV/atom) = -5.22
# - formation energy without anion corrections (eV per atom) = 0.135

Look up the DFT total energy of the first one.
-2.41 eV/atom